1.
Compound: PmPr8Tm3
Source: the Alexandria database
Functional: PBE
Structure: relaxed

Unit cell a=6.1935 b=8.6495 c=9.0245 alpha=66.04 beta=76.60 gamma=72.18
Space group P1 (No. 1)
Symmetry-distinct sites (fractional):
Pm  0.0000  0.0000  0.0000 (multiplicity 1)
Pr  0.0850  0.7312  0.4094 (multiplicity 1)
Pr  0.1941  0.2166  0.5924 (multiplicity 1)
Pr  0.3142  0.7395  0.7515 (multiplicity 1)
Pr  0.3445  0.4498  0.1738 (multiplicity 1)
Pr  0.6253  0.7509  0.0785 (multiplicity 1)
Pr  0.6332  0.4675  0.5021 (multiplicity 1)
Pr  0.7575  0.9945  0.6518 (multiplicity 1)
Pr  0.8664  0.4760  0.8398 (multiplicity 1)
Tm  0.4324  0.2234  0.9191 (multiplicity 1)
Tm  0.5146  0.9866  0.3320 (multiplicity 1)
Tm  0.9462  0.2159  0.2520 (multiplicity 1)

Values from the calculation:
total DFT energy (no corrections): -4.64 eV per atom
size of the total moment: 0.00 μB/f.u.
energy of formation: 64 meV per atom

2.
Compound: Sm2AlZn12Cu3
Source: the Alexandria database
Functional: PBE
Structure: relaxed

Unit cell a=9.3206 b=9.3206 c=12.4415 alpha=90.00 beta=90.00 gamma=120.00
Space group R-3m (No. 166, hexagonal axes)
Symmetry-distinct sites (fractional):
Sm  0.0000  0.0000  0.2486 (multiplicity 6)
Al  0.0000  0.0000  0.5000 (multiplicity 3)
Zn  0.0149  0.5074  0.2056 (multiplicity 18)
Zn  0.0591  0.5295  0.5979 (multiplicity 18)
Cu  0.0000  0.5000  0.0000 (multiplicity 9)

Values from the calculation:
total DFT energy (no corrections): -2.25 eV per atom
size of the total moment: 0.00 μB/f.u.
energy of formation: 11 meV per atom